1.
DFT (PBE-GGA) results for a geometry-optimized BeRuRh4 structure.

## Properties
For the formation energy, the calculation gives 543.3 meV/atom. For the electronic total energy, the calculation gives -39.15 eV/cell. The value obtained for the volume is 90.3 Å³ per cell. As for the crystal system: cubic.

Lattice parameters (Å, degrees): 5.0365 5.0365 5.0365 60.00 60.00 60.00
Last column: nearest neighbours and their distance in Å.
Sites, in units of the cell vectors:
Be 0.0000 0.0000 0.0000  12 Rh 2.95, 4 Ru 3.08
Ru 0.2500 0.2500 0.2500  12 Rh 2.95, 4 Be 3.08
Rh 0.1242 0.6253 0.6253  6 Rh 2.51-2.52
Rh 0.6253 0.1242 0.6253  6 Rh 2.51-2.52
Rh 0.6253 0.6253 0.1242  6 Rh 2.51-2.52
Rh 0.6253 0.6253 0.6253  6 Rh 2.51-2.52

2.
DFT (PBE-GGA) results for a geometry-optimized BeRuRh2 structure.

## Properties
For the formation energy, the calculation gives -82.2 meV/atom. For the electronic total energy, the calculation gives -28.03 eV/cell. The value obtained for the volume is 51.3 Å³ per cell. As for the crystal system: trigonal.

Lattice parameters (Å, degrees): 8.1170 8.1170 8.1170 19.34 19.34 19.34
Last column: nearest neighbours and their distance in Å.
Sites, in units of the cell vectors:
Be 0.0000 0.0000 0.0000  6 Rh 2.39
Ru 0.5000 0.5000 0.5000  6 Rh 2.69, 6 Ru 2.73
Rh 0.2582 0.2582 0.2582  3 Be 2.39
Rh 0.7418 0.7418 0.7418  3 Be 2.39

3.
DFT (PBE-GGA) results for a geometry-optimized BeRuRh structure.

## Properties
The offset from the most stable computed form comes out at 0.1861 eV per atom. For the formation energy, the calculation gives -81.0 meV/atom. For the electronic total energy, the calculation gives -20.60 eV/cell. The value obtained for the volume is 37.3 Å³ per cell. As for the crystal system: orthorhombic.

Lattice parameters (Å, degrees): 4.4859 4.4859 4.4859 144.71 133.74 59.49
Last column: nearest neighbours and their distance in Å.
Sites, in units of the cell vectors:
Be 0.0000 0.0000 0.0000  5 Rh 2.56-2.64, 5 Ru 2.56-2.63, 2 Be 2.72
Ru 0.3379 0.3379 0.0000  5 Rh 2.52-2.62, 5 Be 2.56-2.63, 2 Ru 2.72
Rh 0.6613 0.6613 0.0000  5 Ru 2.52-2.62, 5 Be 2.56-2.64, 2 Rh 2.72

4.
DFT (PBE-GGA) results for a geometry-optimized BeRuRh structure.

## Properties
The offset from the most stable computed form comes out at 0.4827 eV per atom. For the formation energy, the calculation gives 215.6 meV/atom. For the electronic total energy, the calculation gives -19.71 eV/cell. The value obtained for the volume is 39.3 Å³ per cell. As for the crystal system: cubic.

Lattice parameters (Å, degrees): 3.8162 3.8162 3.8162 60.00 60.00 60.00
Last column: nearest neighbours and their distance in Å.
Sites, in units of the cell vectors:
Be 0.0000 0.0000 0.0000  4 Rh 2.34, 4 Ru 2.34
Ru 0.2500 0.2500 0.2500  4 Be 2.34
Rh 0.7500 0.7500 0.7500  4 Be 2.34

5.
DFT (PBE-GGA) results for a geometry-optimized BeRuRh2 structure.

## Properties
For the formation energy, the calculation gives -73.8 meV/atom. For the electronic total energy, the calculation gives -28.00 eV/cell. The value obtained for the volume is 51.9 Å³ per cell. As for the crystal system: tetragonal.

Lattice parameters (Å, degrees): 4.6002 4.6002 4.6002 132.53 132.53 69.39
Last column: nearest neighbours and their distance in Å.
Sites, in units of the cell vectors:
Be 0.0000 0.0000 0.0000  4 Ru 2.62, 8 Rh 2.65
Ru 0.5000 0.5000 0.0000  4 Be 2.62, 8 Rh 2.65
Rh 0.2500 0.7500 0.5000  4 Rh 2.62, 4 Ru 2.65, 4 Be 2.65
Rh 0.7500 0.2500 0.5000  4 Rh 2.62, 4 Ru 2.65, 4 Be 2.65

6.
DFT (PBE-GGA) results for a geometry-optimized BeRu3Rh structure.

## Properties
The offset from the most stable computed form comes out at 0.0000 eV per atom. For the formation energy, the calculation gives 527.1 meV/atom. For the electronic total energy, the calculation gives -36.27 eV/cell. The value obtained for the volume is 67.1 Å³ per cell. As for the crystal system: cubic.

Lattice parameters (Å, degrees): 4.0641 4.0641 4.0641 90.00 90.00 90.00
Last column: nearest neighbours and their distance in Å.
Sites, in units of the cell vectors:
Be 0.0000 0.0000 0.0000  6 Ru 2.03
Ru 0.0000 0.0000 0.5000  2 Be 2.03
Ru 0.0000 0.5000 0.0000  2 Be 2.03
Ru 0.5000 0.0000 0.0000  2 Be 2.03
Rh 0.5000 0.5000 0.5000  12 Ru 2.87